BeHgS2 | PBEsol | optimized geometry

Cell and atoms, written as extended XYZ:
```
4
Lattice="3.5020 0.0000 0.0000 1.7510 3.0329 0.0000 1.7510 1.0110 6.9243" Properties=species:S:1:pos:R:3 pbc="T T T"
Be 3.5020 2.0219 3.4622
S 5.2531 3.0329 2.3458
S 1.7510 1.0110 4.5785
Hg 0.0000 0.0000 0.0000
```

Results
Energy relative to the elements, uncorrected = -0.3120 eV/atom
Total moment = 0.0 μB/cell

---

NdCu2Si2 | PBEsol | optimized geometry

Cell and atoms, written as extended XYZ:
```
5
Lattice="4.0310 0.0000 0.0000 0.0000 4.0310 0.0000 -2.0155 -2.0155 4.9113" Properties=species:S:1:pos:R:3 pbc="T T T"
Si 0.0000 0.0000 3.7151
Si 2.0155 2.0155 1.1962
Nd 0.0000 0.0000 0.0000
Cu 2.0155 0.0000 2.4557
Cu 0.0000 2.0155 2.4557
```

Results
Energy relative to the elements, uncorrected = -0.6511 eV/atom
Total moment = 0.0 μB/cell